Material: KNpMnF6
Method: DFT, GGA+U
State: relaxed

## Properties
Mass density (kg/m3): 4297
Total energy (eV per atom): -6.653
Spin magnetization (Bohr magnetons per cell): 18.00
Space-group type: P-31c

Cell: 6.0364 6.0364 10.9006 Å, 90.00 90.00 120.00°
Each line ends with the local moment (μB).
Fractional coordinates of all 18 atoms:
F 0.3802 0.3620 0.8560  0.01
F 0.0181 0.3802 0.1440  0.01
F 0.6380 0.6198 0.6440  0.01
F 0.6380 0.0181 0.8560  0.01
F 0.6198 0.9819 0.3560  0.01
F 0.0181 0.6380 0.3560  0.01
F 0.3620 0.9819 0.1440  0.01
F 0.9819 0.6198 0.8560  0.01
F 0.3802 0.0181 0.6440  0.01
F 0.3620 0.3802 0.3560  0.01
F 0.6198 0.6380 0.1440  0.01
F 0.9819 0.3620 0.6440  0.01
Np 0.3333 0.6667 0.7500  3.96
Np 0.6667 0.3333 0.2500  3.96
K 0.0000 0.0000 0.0000  0.00
K 0.0000 0.0000 0.5000  0.00
Mn 0.6667 0.3333 0.7500  4.69
Mn 0.3333 0.6667 0.2500  4.69